Density functional theory data (PBE-GGA) for a relaxed Ho6GaSe2S3 crystal.

Summary:
Crystal system = monoclinic
Total magnetization = 0.00 μB/cell
Uncorrected formation energy = -1.684 eV per atom

```
Ho6GaSe2S3
1.0
-0.244 5.658 -3.994
-4.841 -4.910 -0.691
-1.980 2.738 6.005
Ho Se S Ga
6 2 3 1
direct
0.086 0.410 0.259 Ho
0.763 0.763 0.259 Ho
0.237 0.237 0.741 Ho
0.590 0.914 0.741 Ho
0.410 0.086 0.259 Ho
0.914 0.590 0.741 Ho
0.334 0.666 0.000 Se
0.666 0.334 0.000 Se
0.500 0.500 0.500 S
0.170 0.830 0.500 S
0.830 0.170 0.500 S
0.000 0.000 0.000 Ga
```